(1)
Entry from the Alexandria database: a geometry-optimized Pr4Tl5Hg structure (PBE).

Results
Energy relative to the elements in kJ/mol of formula units: -343
Final energy in eV for the cell shown: -34.81
Crystal system: monoclinic

Cell lengths 9.3972, 9.3972, 6.7039 Å; angles 109.85, 109.85, 32.63 degrees
Fractional coordinates of all 10 atoms:
Pr 0.0845 0.0845 0.3275
Pr 0.3036 0.3036 0.2210
Pr 0.6964 0.6964 0.7790
Pr 0.9155 0.9155 0.6725
Tl 0.1079 0.1079 0.8626
Tl 0.2955 0.2955 0.7048
Tl 0.5000 0.5000 0.0000
Tl 0.7045 0.7045 0.2952
Tl 0.8921 0.8921 0.1374
Hg 0.5000 0.5000 0.5000

(2)
Entry from the Alexandria database: a geometry-optimized CsLiFe2Br8 structure (PBE).

Results
Raw formation energy in eV/atom: -0.8976
Final energy in eV for the cell shown: -43.85
Crystal system: monoclinic

Cell lengths 6.8735, 6.8735, 10.4694 Å; angles 97.33, 97.33, 67.63 degrees
Fractional coordinates of all 12 atoms:
Cs 0.0000 0.0000 0.0000
Li 0.0000 0.0000 0.5000
Fe 0.3915 0.3915 0.7055
Fe 0.6085 0.6085 0.2945
Br 0.2359 0.7341 0.3014
Br 0.2441 0.2441 0.5237
Br 0.2659 0.7641 0.6986
Br 0.3192 0.3192 0.9045
Br 0.6808 0.6808 0.0955
Br 0.7341 0.2359 0.3014
Br 0.7559 0.7559 0.4763
Br 0.7641 0.2659 0.6986

(3)
Entry from the Alexandria database: a geometry-optimized Cs2RbSeBr6 structure (PBE).

Results
Raw formation energy in eV/atom: -1.0280
Final energy in eV for the cell shown: -52.95
Crystal system: trigonal

Cell lengths 17.1908, 17.1908, 17.1908 Å; angles 26.46, 26.46, 26.46 degrees
Fractional coordinates of all 20 atoms:
Cs 0.1397 0.1397 0.1397
Cs 0.3074 0.3074 0.3074
Cs 0.6926 0.6926 0.6926
Cs 0.8603 0.8603 0.8603
Rb 0.4171 0.4171 0.4171
Rb 0.5829 0.5829 0.5829
Se 0.0000 0.0000 0.0000
Se 0.5000 0.5000 0.5000
Br 0.1342 0.6355 0.6355
Br 0.1961 0.1961 0.7035
Br 0.1961 0.7035 0.1961
Br 0.2965 0.8039 0.8039
Br 0.3645 0.3645 0.8658
Br 0.3645 0.8658 0.3645
Br 0.6355 0.1342 0.6355
Br 0.6355 0.6355 0.1342
Br 0.7035 0.1961 0.1961
Br 0.8039 0.2965 0.8039
Br 0.8039 0.8039 0.2965
Br 0.8658 0.3645 0.3645

(4)
Entry from the Alexandria database: a geometry-optimized Co2SiMoC structure (PBE).

Results
Raw formation energy in eV/atom: 1.3478
Final energy in eV for the cell shown: -32.95
Crystal system: tetragonal

Cell lengths 4.3462, 4.3462, 3.5156 Å; angles 90.00, 90.00, 90.00 degrees
Fractional coordinates of all 5 atoms:
Co 0.0000 0.5000 0.0000
Co 0.5000 0.0000 0.0000
Si 0.0000 0.0000 0.0000
Mo 0.5000 0.5000 0.5000
C 0.0000 0.0000 0.5000

(5)
Entry from the Alexandria database: a geometry-optimized CaMn5P3 structure (PBE).

Results
Energy relative to the elements in kJ/mol of formula units: -491
Final energy in eV for the cell shown: -138.34
Crystal system: orthorhombic

Cell lengths 6.2896, 6.2896, 11.0211 Å; angles 90.00, 90.00, 145.48 degrees
Fractional coordinates of all 18 atoms:
Ca 0.1673 0.8327 0.7500
Ca 0.8327 0.1673 0.2500
Mn 0.0000 0.0000 0.0000
Mn 0.0000 0.0000 0.5000
Mn 0.1920 0.8080 0.0602
Mn 0.1920 0.8080 0.4398
Mn 0.4489 0.5511 0.6477
Mn 0.4489 0.5511 0.8523
Mn 0.5511 0.4489 0.1477
Mn 0.5511 0.4489 0.3523
Mn 0.8080 0.1920 0.5602
Mn 0.8080 0.1920 0.9398
P 0.1141 0.8859 0.2500
P 0.3791 0.6209 0.0507
P 0.3791 0.6209 0.4493
P 0.6209 0.3791 0.5507
P 0.6209 0.3791 0.9493
P 0.8859 0.1141 0.7500

(6)
Entry from the Alexandria database: a geometry-optimized ReAsPCl2 structure (PBE).

Results
Raw formation energy in eV/atom: 1.2416
Final energy in eV for the cell shown: -19.99
Crystal system: tetragonal

Cell lengths 4.7518, 4.7518, 5.2895 Å; angles 90.00, 90.00, 90.00 degrees
Fractional coordinates of all 5 atoms:
Re 0.0000 0.0000 0.0000
As 0.5000 0.5000 0.5000
P 0.5000 0.5000 0.0000
Cl 0.0000 0.5000 0.5000
Cl 0.5000 0.0000 0.5000